# ThGa3Os3

A relaxed ThGa3Os3 crystal (GGA-PBE, Alexandria).

Output
* VASP energy: -6.45 eV/atom
* formation enthalpy at 0 K: 0.72 eV/atom
* calculated density: 11.05 g cm⁻³
* DOS at the Fermi energy: 14.41 states/eV per cell

Lattice parameters (Å, degrees): 6.724 6.724 6.724 90.00 90.00 90.00
Space group Pm-3n (No. 223)
Inequivalent atoms, fractional coordinates:
Th  0.000  0.000  0.000 (multiplicity 2)
Ga  0.000  0.250  0.500 (multiplicity 6)
Os  0.000  0.500  0.250 (multiplicity 6)



# Ba2MgAl

A relaxed Ba2MgAl crystal (GGA-PBE, Alexandria).

Output
* polymorph energy (0 for the lowest one): 56.5 meV per atom
* VASP energy: -2.36 eV/atom
* formation enthalpy at 0 K: -0.06 eV/atom
* calculated density: 3.64 g cm⁻³
* DOS at the Fermi energy: 3.74 states/eV per cell

Lattice parameters (Å, degrees): 13.733 4.007 6.003 90.00 115.89 90.00
Space group Cm (No. 8)
Inequivalent atoms, fractional coordinates:
Ba  0.000  0.000  0.000 (multiplicity 2)
Ba  0.192  0.000  0.691 (multiplicity 2)
Mg  0.281  0.500  0.280 (multiplicity 2)
Al  0.450  0.000  0.450 (multiplicity 2)



# Pm7Pr12Dy

A relaxed Pm7Pr12Dy crystal (GGA-PBE, Alexandria).

Output
* polymorph energy (0 for the lowest one): 49.4 meV per atom
* VASP energy: -4.50 eV/atom
* formation enthalpy at 0 K: 0.26 eV/atom
* calculated density: 6.52 g cm⁻³
* DOS at the Fermi energy: 75.85 states/eV per cell

Lattice parameters (Å, degrees): 19.0420 19.0420 6.9817 90.00 90.00 120.00
Space group R-3 (No. 148, hexagonal axes)
Inequivalent atoms, fractional coordinates:
Pm  0.0000  0.0000  0.0000 (multiplicity 3)
Pm  0.0066  0.1550  0.2790 (multiplicity 18)
Pr  0.0000  0.2132  0.7908 (multiplicity 18)
Pr  0.0078  0.5381  0.2408 (multiplicity 18)
Dy  0.0000  0.0000  0.5000 (multiplicity 3)



# TbPm2Pr4Nd2

A relaxed TbPm2Pr4Nd2 crystal (GGA-PBE, Alexandria).

Output
* VASP energy: -4.74 eV/atom
* formation enthalpy at 0 K: 0.01 eV/atom
* calculated density: 6.81 g cm⁻³
* DOS at the Fermi energy: 23.42 states/eV per cell

Lattice parameters (Å, degrees): 19.210 3.703 9.886 90.00 115.53 90.00
Space group C2/m (No. 12)
Inequivalent atoms, fractional coordinates:
Tb  0.000  0.000  0.000 (multiplicity 2)
Pm  0.149  0.000  0.669 (multiplicity 4)
Pr  0.018  0.500  0.330 (multiplicity 4)
Pr  0.185  0.000  0.331 (multiplicity 4)
Nd  0.166  0.500  0.999 (multiplicity 4)



- The lowest calculated density belongs to which entry?
  Ba2MgAl



- What is the VASP energy in the second record?
  -2.36 eV/atom